No. 1
Entry from Alexandria: RbPbSI2 after structural relaxation (GGA-PBE).

Output
* total energy: -3.018 eV per atom
* N(E_F): 5.56 states/eV per cell
* calculated density: 4.45 g/cm3
* ΔE_f (raw): -0.638 eV per atom

Geometry as extended XYZ:
```
5
Lattice="-3.060 -4.665 3.147 4.797 -0.290 4.235 -2.415 3.597 2.983" Properties=species:S:1:pos:R:3 pbc="T T T"
Pb 0.000 0.000 0.000
I -1.530 -2.332 1.573
I 2.398 -0.145 2.117
Rb -0.339 -0.679 5.182
S -1.208 1.798 1.491
```

---

No. 2
Entry from Alexandria: RbSbPbI2 after structural relaxation (GGA-PBE).

Output
* total energy: -2.009 eV per atom
* N(E_F): 3.70 states/eV per cell
* calculated density: 3.89 g/cm3
* offset from the most stable computed form: 751 meV per atom
* ΔE_f (raw): 0.371 eV per atom

Geometry as extended XYZ:
```
5
Lattice="-0.558 -3.968 5.149 -1.668 -4.907 -3.962 6.452 -1.701 -0.611" Properties=species:S:1:pos:R:3 pbc="T T T"
I -0.279 -1.984 2.574
Sb 3.226 -0.850 -0.305
Rb 0.000 0.000 0.000
I -0.834 -2.453 -1.981
Pb 2.113 -5.288 0.288
```

---

No. 3
Entry from Alexandria: RbSbPb2I8 after structural relaxation (GGA-PBE).

Output
* total energy: -2.708 eV per atom
* N(E_F): 0.00 states/eV per cell
* calculated density: 4.77 g/cm3
* ΔE_f (raw): -0.633 eV per atom

Geometry as extended XYZ:
```
12
Lattice="-1.462 -2.737 -7.174 -4.565 -5.173 2.760 -7.564 6.207 -0.835" Properties=species:S:1:pos:R:3 pbc="T T T"
I -8.316 1.271 -6.030
I -3.990 -2.268 -5.548
I -8.032 -2.394 -2.881
Rb -3.782 3.103 -0.418
Pb -8.710 0.721 -2.837
I -9.601 0.565 0.299
I -1.542 -2.095 -1.688
Sb 0.000 0.000 0.000
I -12.048 0.392 -3.561
I -5.558 0.691 -2.368
I -5.274 -2.974 0.781
Pb -4.880 -2.424 -2.412
```

---

Which value of N(E_F) does entry 3 give?
0.00 states/eV per cell

---

Which formula does entry 3 have?
RbSbPb2I8

---

Which of these has the highest N(E_F)?
RbPbSI2